Record 1
Material: KBaTa2
Method: DFT, GGA-PBE
State: relaxed

Results
Spin magnetization   0.0 Bohr magnetons per cell
Energy relative to the lowest polymorph listed for this composition   2.802 eV per formula unit
E_form   1425 meV/atom

Cell: 3.4403 4.8471 6.2642 Å, 90.00 90.00 90.00°
Space group Pmmm (No. 47)
One atom of each set of equivalent atoms:
K (0.0000, 0.0000, 0.0000) [1 per cell]
Ba (0.5000, 0.5000, 0.0000) [1 per cell]
Ta (0.0000, 0.5000, 0.5000) [1 per cell]
Ta (0.5000, 0.0000, 0.5000) [1 per cell]


Record 2
Material: CrAgPbCl6
Method: DFT, GGA-PBE
State: relaxed

Results
Spin magnetization   6.0 Bohr magnetons per cell
Formation energy without anion corrections   -0.94 eV per atom

Cell: 6.8356 6.8356 11.4817 Å, 90.00 90.00 120.00°
Space group P-31c (No. 163)
One atom of each set of equivalent atoms:
Cr (0.3333, 0.6667, 0.2500) [2 per cell]
Ag (0.0000, 0.0000, 0.0000) [2 per cell]
Pb (0.3333, 0.6667, 0.7500) [2 per cell]
Cl (0.0580, 0.3789, 0.1281) [12 per cell]


Record 3
Material: KBiW3
Method: DFT, GGA-PBE
State: relaxed

Results
Spin magnetization   0.0 Bohr magnetons per cell
Energy relative to the lowest polymorph listed for this composition   0.000 eV per formula unit
E_form   3048 meV/atom

Cell: 5.1781 5.1781 5.1781 Å, 90.00 90.00 90.00°
Space group Pm-3m (No. 221)
One atom of each set of equivalent atoms:
K (0.0000, 0.0000, 0.0000) [1 per cell]
Bi (0.5000, 0.5000, 0.5000) [1 per cell]
W (0.0000, 0.5000, 0.5000) [3 per cell]


Record 4
Material: BaLa2Rh
Method: DFT, GGA-PBE
State: relaxed

Results
Spin magnetization   0.0 Bohr magnetons per cell
Energy relative to the lowest polymorph listed for this composition   0.887 eV per formula unit
E_form   -193 meV/atom

Cell: 3.7742 3.7742 9.5917 Å, 90.00 90.00 90.00°
Space group P4mm (No. 99)
One atom of each set of equivalent atoms:
Ba (0.0000, 0.0000, 0.0000) [1 per cell]
La (0.0000, 0.0000, 0.6311) [1 per cell]
La (0.5000, 0.5000, 0.3490) [1 per cell]
Rh (0.5000, 0.5000, 0.7486) [1 per cell]


Record 5
Material: Dy8ScCd2
Method: DFT, GGA-PBE
State: relaxed

Results
Spin magnetization   0.0 Bohr magnetons per cell
E_form   34 meV/atom

Cell: 8.6794 15.0654 5.5019 Å, 90.00 112.97 90.00°
Space group C2/m (No. 12)
One atom of each set of equivalent atoms:
Dy (0.0000, 0.2144, 0.0000) [4 per cell]
Dy (0.1075, 0.5000, 0.7999) [4 per cell]
Dy (0.2075, 0.1117, 0.6143) [8 per cell]
Sc (0.0000, 0.0000, 0.0000) [2 per cell]
Cd (0.0000, 0.3046, 0.5000) [4 per cell]


Record 6
Material: Ac12Ge5Bi3
Method: DFT, GGA-PBE
State: relaxed

Results
Spin magnetization   0.0 Bohr magnetons per cell
E_form   -397 meV/atom

Cell: 19.0139 19.0139 19.0139 Å, 90.00 90.00 90.00°
Space group Ia-3d (No. 230)
One atom of each set of equivalent atoms:
Ac (0.0237, 0.0635, 0.6498) [96 per cell]
Ge (0.0000, 0.0000, 0.0000) [16 per cell]
Ge (0.0000, 0.2500, 0.3750) [24 per cell]
Bi (0.0000, 0.2500, 0.1250) [24 per cell]


Record 7
Material: AlNi2BPt
Method: DFT, GGA-PBE
State: relaxed

Results
Spin magnetization   0.0 Bohr magnetons per cell
E_form   -335 meV/atom

Cell: 3.8601 3.8601 4.1237 Å, 90.00 90.00 90.00°
Space group P4mm (No. 99)
One atom of each set of equivalent atoms:
Al (0.0000, 0.0000, 0.0000) [1 per cell]
Ni (0.0000, 0.5000, 0.4983) [2 per cell]
B (0.5000, 0.5000, 0.5037) [1 per cell]
Pt (0.5000, 0.5000, 0.0029) [1 per cell]


Record 8
Material: KFe2AgI8
Method: DFT, GGA-PBE
State: relaxed

Results
Spin magnetization   10.0 Bohr magnetons per cell
Formation energy without anion corrections   -0.39 eV per atom

Cell: 7.3882 7.3882 10.4684 Å, 90.00 90.00 120.00°
Space group P-3 (No. 147)
One atom of each set of equivalent atoms:
K (0.0000, 0.0000, 0.0000) [1 per cell]
Fe (0.3333, 0.6667, 0.7503) [2 per cell]
Ag (0.0000, 0.0000, 0.5000) [1 per cell]
I (0.0071, 0.3314, 0.6756) [6 per cell]
I (0.3333, 0.6667, 0.9938) [2 per cell]


Record 9
Material: NiAsPd
Method: DFT, GGA-PBE
State: relaxed

Results
Spin magnetization   0.0 Bohr magnetons per cell
E_form   -132 meV/atom

Cell: 3.3783 3.3783 7.5489 Å, 90.00 90.00 90.00°
Space group I4mm (No. 107)
One atom of each set of equivalent atoms:
Ni (0.0000, 0.0000, 0.0000) [2 per cell]
As (0.0000, 0.0000, 0.6752) [2 per cell]
Pd (0.0000, 0.0000, 0.3440) [2 per cell]


Record 10
Material: Pm12Eu3As5
Method: DFT, GGA-PBE
State: relaxed

Results
Spin magnetization   207.3 Bohr magnetons per cell
E_form   -189 meV/atom

Cell: 18.2262 18.2262 18.2262 Å, 90.00 90.00 90.00°
Space group Ia-3d (No. 230)
One atom of each set of equivalent atoms:
Pm (0.0367, 0.0635, 0.6418) [96 per cell]
Eu (0.0000, 0.2500, 0.1250) [24 per cell]
As (0.0000, 0.0000, 0.0000) [16 per cell]
As (0.0000, 0.2500, 0.3750) [24 per cell]


Record 11
Material: TaFeSb2
Method: DFT, GGA-PBE
State: relaxed

Results
Spin magnetization   1.1 Bohr magnetons per cell
Energy relative to the lowest polymorph listed for this composition   0.000 eV per formula unit
Formation energy without anion corrections   0.03 eV per atom

Cell: 3.1330 3.1330 8.6826 Å, 90.00 90.00 90.00°
Space group P4mm (No. 99)
One atom of each set of equivalent atoms:
Ta (0.0000, 0.0000, 0.0000) [1 per cell]
Fe (0.5000, 0.5000, 0.1598) [1 per cell]
Sb (0.0000, 0.0000, 0.3529) [1 per cell]
Sb (0.5000, 0.5000, 0.7546) [1 per cell]


Record 12
Material: Er6CdCo2
Method: DFT, GGA-PBE
State: relaxed

Results
Spin magnetization   0.0 Bohr magnetons per cell
Energy relative to the lowest polymorph listed for this composition   1.188 eV per formula unit
E_form   -98 meV/atom

Cell: 10.3567 4.7501 9.1817 Å, 90.00 102.77 90.00°
Space group C2/m (No. 12)
One atom of each set of equivalent atoms:
Er (0.0277, 0.0000, 0.3404) [4 per cell]
Er (0.1643, 0.5000, 0.8768) [4 per cell]
Er (0.2246, 0.5000, 0.3481) [4 per cell]
Cd (0.0000, 0.0000, 0.0000) [2 per cell]
Co (0.1033, 0.5000, 0.5814) [4 per cell]


Record 13
Material: KAl3V
Method: DFT, GGA-PBE
State: relaxed

Results
Spin magnetization   2.7 Bohr magnetons per cell
Energy relative to the lowest polymorph listed for this composition   0.000 eV per formula unit
E_form   416 meV/atom

Cell: 5.0216 5.0216 5.0216 Å, 90.00 90.00 90.00°
Space group Pm-3m (No. 221)
One atom of each set of equivalent atoms:
K (0.0000, 0.0000, 0.0000) [1 per cell]
Al (0.0000, 0.5000, 0.5000) [3 per cell]
V (0.5000, 0.5000, 0.5000) [1 per cell]


Record 14
Material: PuNpCoRu
Method: DFT, GGA-PBE
State: relaxed

Results
Spin magnetization   6.7 Bohr magnetons per cell
E_form   -87 meV/atom

Cell: 6.2669 6.2669 6.2669 Å, 90.00 90.00 90.00°
Space group F-43m (No. 216)
One atom of each set of equivalent atoms:
Pu (0.0000, 0.0000, 0.0000) [4 per cell]
Np (0.2500, 0.2500, 0.2500) [4 per cell]
Co (0.2500, 0.2500, 0.7500) [4 per cell]
Ru (0.0000, 0.0000, 0.5000) [4 per cell]


Record 15
Material: Cs2MnSiBr6
Method: DFT, GGA-PBE
State: relaxed

Results
Spin magnetization   20.0 Bohr magnetons per cell
Formation energy without anion corrections   -1.06 eV per atom

Cell: 10.9543 10.9543 10.9543 Å, 90.00 90.00 90.00°
Space group Fm-3m (No. 225)
One atom of each set of equivalent atoms:
Cs (0.2500, 0.2500, 0.2500) [8 per cell]
Mn (0.0000, 0.0000, 0.0000) [4 per cell]
Si (0.0000, 0.0000, 0.5000) [4 per cell]
Br (0.0000, 0.0000, 0.2471) [24 per cell]


Record 16
Material: TlCd4In8
Method: DFT, GGA-PBE
State: relaxed

Results
Spin magnetization   0.0 Bohr magnetons per cell
E_form   58 meV/atom

Cell: 9.7199 5.4732 13.4540 Å, 90.00 102.58 90.00°
Space group C2/m (No. 12)
One atom of each set of equivalent atoms:
Tl (0.0000, 0.0000, 0.0000) [2 per cell]
Cd (0.1313, 0.0000, 0.4655) [4 per cell]
Cd (0.1592, 0.5000, 0.8478) [4 per cell]
In (0.9995, 0.0000, 0.2384) [4 per cell]
In (0.1003, 0.5000, 0.6110) [4 per cell]
In (0.1758, 0.5000, 0.0841) [4 per cell]
In (0.1897, 0.5000, 0.3178) [4 per cell]


Record 17
Material: Rb2ErInO4
Method: DFT, GGA-PBE
State: relaxed

Results
Spin magnetization   0.0 Bohr magnetons per cell
Formation energy without anion corrections   -2.07 eV per atom

Cell: 6.1843 6.1843 8.9369 Å, 90.00 90.00 90.00°
Space group I-4 (No. 82)
One atom of each set of equivalent atoms:
Rb (0.0000, 0.0000, 0.0000) [2 per cell]
Rb (0.0000, 0.5000, 0.2500) [2 per cell]
Er (0.0000, 0.5000, 0.7500) [2 per cell]
In (0.0000, 0.0000, 0.5000) [2 per cell]
O (0.1442, 0.2480, 0.6230) [8 per cell]